[1]
Below is an optimized crystal structure of Pu2HfTiN5, with properties calculated at the PBE-GGA level.

Crystal system ... orthorhombic
Raw total energy ... -200.07 eV for the cell shown
Symmetry ... Cmc2_1

a b c (Å): 3.317 6.891 10.172
angles (deg): 90.00 90.00 103.93
Element x y z (fractional)
N1 0.508 0.016 0.280
N2 0.282 0.564 0.658
N3 0.947 0.894 0.559
N4 0.627 0.254 0.503
N5 0.492 0.984 0.780
N6 0.681 0.362 0.871
N7 0.718 0.436 0.158
N8 0.373 0.746 0.003
N9 0.319 0.638 0.371
N10 0.053 0.106 0.059
Pu1 0.888 0.777 0.195
Pu2 0.862 0.725 0.786
Pu3 0.138 0.275 0.286
Pu4 0.112 0.223 0.695
Hf1 0.214 0.428 0.001
Hf2 0.786 0.572 0.501
Ti1 0.481 0.962 0.470
Ti2 0.519 0.038 0.970

---

[2]
Below is an optimized crystal structure of Pu2HfTiN4, with properties calculated at the PBE-GGA level.

Crystal system ... monoclinic
Raw total energy ... -91.67 eV for the cell shown
Symmetry ... P2/m

a b c (Å): 3.274 5.635 5.773
angles (deg): 109.07 90.00 90.00
Element x y z (fractional)
Hf1 0.500 0.500 0.000
N1 0.500 0.236 0.220
N2 0.000 0.253 0.780
N3 0.000 0.747 0.220
N4 0.500 0.764 0.780
Ti1 0.000 0.000 0.000
Pu1 0.000 0.500 0.500
Pu2 0.500 0.000 0.500

---

[3]
Below is an optimized crystal structure of Tm2PuHf3N6, with properties calculated at the PBE-GGA level.

Crystal system ... monoclinic
Raw total energy ... -124.13 eV for the cell shown
Symmetry ... C2/m

a b c (Å): 3.293 6.649 7.424
angles (deg): 103.69 102.82 90.00
Element x y z (fractional)
N1 0.004 0.734 0.008
N2 0.673 0.075 0.347
N3 0.337 0.406 0.673
N4 0.327 0.925 0.653
N5 0.663 0.594 0.327
N6 0.996 0.266 0.992
Hf1 0.833 0.167 0.665
Hf2 0.167 0.833 0.335
Hf3 0.500 0.500 0.000
Tm1 0.167 0.334 0.334
Tm2 0.833 0.666 0.666
Pu1 0.500 0.000 0.000

---

[4]
Below is an optimized crystal structure of Tm2PuHfN4, with properties calculated at the PBE-GGA level.

Crystal system ... monoclinic
Raw total energy ... -79.92 eV for the cell shown
Symmetry ... P2/m

a b c (Å): 3.364 5.839 5.814
angles (deg): 109.39 90.00 90.00
Element x y z (fractional)
Pu1 0.500 0.500 0.000
Tm1 0.000 0.500 0.500
Tm2 0.500 0.000 0.500
N1 0.000 0.241 0.758
N2 0.000 0.759 0.242
N3 0.500 0.765 0.763
N4 0.500 0.235 0.237
Hf1 0.000 0.000 0.000

---

[5]
Below is an optimized crystal structure of TmPu3Hf2N6, with properties calculated at the PBE-GGA level.

Crystal system ... monoclinic
Raw total energy ... -135.96 eV for the cell shown
Symmetry ... C2/m

a b c (Å): 5.819 5.819 5.882
angles (deg): 99.48 99.48 119.95
Element x y z (fractional)
N1 0.271 0.271 0.772
N2 0.923 0.577 0.769
N3 0.729 0.729 0.228
N4 0.423 0.077 0.231
N5 0.077 0.423 0.231
N6 0.577 0.923 0.769
Hf1 0.667 0.333 0.000
Hf2 0.333 0.667 0.000
Tm1 0.000 0.000 0.000
Pu1 0.835 0.165 0.500
Pu2 0.500 0.500 0.500
Pu3 0.165 0.835 0.500

---

[6]
Below is an optimized crystal structure of TmPuHf2N4, with properties calculated at the PBE-GGA level.

Crystal system ... monoclinic
Raw total energy ... -85.63 eV for the cell shown
Symmetry ... P2/m

a b c (Å): 3.304 5.794 5.714
angles (deg): 70.82 90.00 90.00
Element x y z (fractional)
Hf1 0.000 0.000 0.000
Hf2 0.500 0.000 0.500
Tm1 0.000 0.500 0.500
Pu1 0.500 0.500 0.000
N1 0.000 0.227 0.261
N2 0.000 0.773 0.739
N3 0.500 0.772 0.246
N4 0.500 0.228 0.754

---

[7]
Below is an optimized crystal structure of TmPu2HfN4, with properties calculated at the PBE-GGA level.

Crystal system ... monoclinic
Raw total energy ... -88.57 eV for the cell shown
Symmetry ... P2/m

a b c (Å): 3.375 5.843 5.904
angles (deg): 109.56 90.00 90.00
Element x y z (fractional)
Pu1 0.000 0.500 0.500
Pu2 0.500 0.000 0.500
N1 0.000 0.237 0.763
N2 0.500 0.234 0.230
N3 0.500 0.766 0.770
N4 0.000 0.763 0.237
Hf1 0.000 0.000 0.000
Tm1 0.500 0.500 0.000

---

[8]
Below is an optimized crystal structure of Pu2HfUN4, with properties calculated at the PBE-GGA level.

Crystal system ... monoclinic
Raw total energy ... -94.75 eV for the cell shown
Symmetry ... P2/m

a b c (Å): 3.387 5.861 5.910
angles (deg): 109.04 90.00 90.00
Element x y z (fractional)
N1 0.000 0.752 0.224
N2 0.500 0.236 0.220
N3 0.000 0.248 0.776
N4 0.500 0.764 0.780
Pu1 0.500 0.000 0.500
Pu2 0.000 0.500 0.500
Hf1 0.000 0.000 0.000
U1 0.500 0.500 0.000

---

[9]
Below is an optimized crystal structure of PuHfU2N4, with properties calculated at the PBE-GGA level.

Crystal system ... monoclinic
Raw total energy ... -91.57 eV for the cell shown
Symmetry ... P2/m

a b c (Å): 3.358 5.912 5.858
angles (deg): 109.04 90.00 90.00
Element x y z (fractional)
U1 0.500 0.000 0.500
U2 0.000 0.500 0.500
N1 0.000 0.230 0.753
N2 0.000 0.770 0.247
N3 0.500 0.773 0.762
N4 0.500 0.227 0.238
Hf1 0.000 0.000 0.000
Pu1 0.500 0.500 0.000

---

[10]
Below is an optimized crystal structure of YPu2HfN4, with properties calculated at the PBE-GGA level.

Crystal system ... monoclinic
Raw total energy ... -90.44 eV for the cell shown
Symmetry ... P2/m

a b c (Å): 3.398 5.918 5.898
angles (deg): 109.30 90.00 90.00
Element x y z (fractional)
Y1 0.500 0.500 0.000
Pu1 0.000 0.500 0.500
Pu2 0.500 0.000 0.500
N1 0.500 0.228 0.233
N2 0.000 0.766 0.244
N3 0.500 0.772 0.767
N4 0.000 0.234 0.756
Hf1 0.000 0.000 0.000

---

[11]
Below is an optimized crystal structure of Y2PuHfN4, with properties calculated at the PBE-GGA level.

Crystal system ... monoclinic
Raw total energy ... -83.43 eV for the cell shown
Symmetry ... P2/m

a b c (Å): 3.397 5.893 5.886
angles (deg): 109.31 90.00 90.00
Element x y z (fractional)
N1 0.500 0.233 0.230
N2 0.000 0.756 0.233
N3 0.000 0.244 0.767
N4 0.500 0.767 0.770
Y1 0.500 0.000 0.500
Y2 0.000 0.500 0.500
Hf1 0.000 0.000 0.000
Pu1 0.500 0.500 0.000

---

[12]
Below is an optimized crystal structure of PuHf2ZrN4, with properties calculated at the PBE-GGA level.

Crystal system ... orthorhombic
Raw total energy ... -178.68 eV for the cell shown
Symmetry ... Imma

a b c (Å): 6.570 6.570 6.559
angles (deg): 119.95 119.95 89.90
Element x y z (fractional)
N1 0.262 0.770 0.516
N2 0.270 0.762 0.016
N3 0.258 0.242 0.992
N4 0.742 0.758 0.008
N5 0.730 0.238 0.984
N6 0.738 0.230 0.484
N7 0.258 0.242 0.508
N8 0.742 0.758 0.492
Hf1 0.500 0.000 0.000
Hf2 0.000 0.000 0.500
Hf3 0.500 0.500 0.000
Hf4 0.500 0.000 0.500
Pu1 0.000 0.500 0.500
Pu2 0.000 0.500 0.000
Zr1 0.000 0.000 0.000
Zr2 0.500 0.500 0.500

---

Which of these has the lowest raw total energy? Pu2HfTiN5